{
  "formula": "Hg3PtF6",
  "functional": "PBE",
  "state": "relaxed",
  "space_group": "P-1, No. 2",
  "de_polymorph_mev_per_atom": 30,
  "lattice_angstrom": [[-5.7502, -0.8529, 0.4240], [3.7720, 6.1756, -0.6980], [-0.2991, 0.5096, -6.3108]],
  "species": ["Hg", "Hg", "Hg", "Pt", "F", "F", "F", "F", "F", "F"],
  "fractional_positions": [[0.5000, 0.0000, 0.5000], [0.0000, 0.5000, 0.0000], [0.5000, 0.5000, 0.0000], [0.0000, 0.0000, 0.0000], [0.2057, 0.8887, 0.1535], [0.7943, 0.1113, 0.8465], [0.7039, 0.3485, 0.3447], [0.2961, 0.6515, 0.6553], [0.8987, 0.0510, 0.2695], [0.1013, 0.9490, 0.7305]]
}

***

{
  "formula": "HgPtF6",
  "functional": "PBE",
  "state": "relaxed",
  "space_group": "P312, No. 149",
  "lattice_angstrom": [[-2.8137, -2.3638, 3.5484], [-4.3802, 1.2657, -2.6301], [2.4826, -4.5224, -1.0439]],
  "species": ["Hg", "Pt", "F", "F", "F", "F", "F", "F"],
  "fractional_positions": [[0.5000, 0.0000, 0.0000], [0.0000, 0.6667, 0.3333], [0.7735, 0.9760, 0.6316], [0.2265, 0.9760, 0.3445], [0.2265, 0.6555, 0.6316], [0.7735, 0.6555, 0.0240], [0.7735, 0.3684, 0.3445], [0.2265, 0.3684, 0.0240]]
}

***

{
  "formula": "Hg2PtF8",
  "functional": "PBE",
  "state": "relaxed",
  "space_group": "C2/m, No. 12",
  "de_polymorph_mev_per_atom": 33,
  "lattice_angstrom": [[-4.9006, 0.2259, -3.7258], [-4.3670, -3.2204, 3.3363], [-4.6402, 1.7504, 3.9971]],
  "species": ["Hg", "Hg", "Pt", "F", "F", "F", "F", "F", "F", "F", "F"],
  "fractional_positions": [[0.6864, 0.8007, 0.8007], [0.3136, 0.1993, 0.1993], [0.0000, 0.0000, 0.0000], [0.0376, 0.3714, 0.8786], [0.9624, 0.1214, 0.6286], [0.3266, 0.9611, 0.9611], [0.6734, 0.0389, 0.0389], [0.0376, 0.8786, 0.3714], [0.9624, 0.6286, 0.1214], [0.4379, 0.6987, 0.6987], [0.5621, 0.3013, 0.3013]]
}

***

{
  "formula": "Hg3PtF6",
  "functional": "PBE",
  "state": "relaxed",
  "space_group": "P2_1/c, No. 14",
  "de_polymorph_mev_per_atom": 0,
  "lattice_angstrom": [[-4.7577, -1.0805, -0.2833], [1.4539, -6.6420, 0.9159], [-0.9431, 1.4606, 10.2678]],
  "species": ["Hg", "Hg", "Hg", "Hg", "Hg", "Hg", "Pt", "Pt", "F", "F", "F", "F", "F", "F", "F", "F", "F", "F", "F", "F"],
  "fractional_positions": [[0.1479, 0.5050, 0.2967], [0.5000, 0.5000, 0.0000], [0.8521, 0.4950, 0.7033], [0.3521, 0.0050, 0.7967], [0.0000, 0.0000, 0.5000], [0.6479, 0.9950, 0.2033], [0.5000, 0.5000, 0.5000], [0.0000, 0.0000, 0.0000], [0.7691, 0.2025, 0.9191], [0.7263, 0.2960, 0.4107], [0.7351, 0.0214, 0.6585], [0.2649, 0.9786, 0.3415], [0.2737, 0.7040, 0.5893], [0.2309, 0.7975, 0.0809], [0.7309, 0.7025, 0.4191], [0.7737, 0.7960, 0.9107], [0.7649, 0.5214, 0.1585], [0.2351, 0.4786, 0.8415], [0.2263, 0.2040, 0.0893], [0.2691, 0.2975, 0.5809]]
}

***

{
  "formula": "HgPt2F",
  "functional": "PBE",
  "state": "relaxed",
  "space_group": "Fm-3m, No. 225",
  "de_polymorph_mev_per_atom": 234,
  "lattice_angstrom": [[0.0000, 3.1875, 3.1875], [3.1875, 0.0000, 3.1875], [3.1875, 3.1875, 0.0000]],
  "species": ["Hg", "Pt", "Pt", "F"],
  "fractional_positions": [[0.5000, 0.5000, 0.5000], [0.2500, 0.2500, 0.2500], [0.7500, 0.7500, 0.7500], [0.0000, 0.0000, 0.0000]]
}

***

{
  "formula": "Hg2PtF8",
  "functional": "PBE",
  "state": "relaxed",
  "space_group": "C2/m, No. 12",
  "de_polymorph_mev_per_atom": 0,
  "lattice_angstrom": [[-1.6093, 2.0093, -3.8555], [-5.2449, 0.1747, 3.4235], [0.5295, 5.1109, 3.5858]],
  "species": ["Hg", "Hg", "Pt", "F", "F", "F", "F", "F", "F", "F", "F"],
  "fractional_positions": [[0.8254, 0.6467, 0.6467], [0.1746, 0.3533, 0.3533], [0.0000, 0.0000, 0.0000], [0.8523, 0.9407, 0.2919], [0.1477, 0.7081, 0.0593], [0.6586, 0.8478, 0.8478], [0.3414, 0.1522, 0.1522], [0.8523, 0.2919, 0.9407], [0.1477, 0.0593, 0.7081], [0.2849, 0.5876, 0.5876], [0.7151, 0.4124, 0.4124]]
}

***

In μB/atom, the magnetic moment values for the records above are, in order, 0.00 0.00 0.00 0.00 0.00 0.00.
In kcal/mol of atoms, the formation energy (no corrections) values for the records above are, in order, -26.391 -32.157 -31.186 -27.082 3.572 -31.955.